Record 1
## CrSiAs2 (PBE-GGA)

Data for an optimized crystal structure of CrSiAs2.

Properties
**Size of the total moment**: 0.0 Bohr magnetons per cell
**Uncorrected energy**: -5.95 eV/atom
**DOS(E_F)**: 2.5 states/eV per cell

Lattice parameters (Å, degrees): 8.278 3.076 5.607 90.00 99.33 90.00
Space group Cm (No. 8)
Inequivalent atoms, fractional coordinates:
Cr  0.000  0.000  0.000 [2 per cell]
Si  0.275  0.000  0.949 [2 per cell]
As  0.186  0.500  0.282 [2 per cell]
As  0.494  0.000  0.661 [2 per cell]

Record 2
## Cr2SiAs (PBE-GGA)

Data for an optimized crystal structure of Cr2SiAs.

Properties
**Size of the total moment**: 0.3 Bohr magnetons per cell
**Uncorrected energy**: -7.21 eV/atom
**DOS(E_F)**: 3.9 states/eV per cell

Lattice parameters (Å, degrees): 4.253 2.885 4.840 90.00 114.09 90.00
Space group P2/m (No. 10)
Inequivalent atoms, fractional coordinates:
Cr  0.000  0.000  0.000 [1 per cell]
Cr  0.000  0.500  0.500 [1 per cell]
Si  0.500  0.000  0.500 [1 per cell]
As  0.500  0.500  0.000 [1 per cell]

Record 3
## CrSi2As (PBE-GGA)

Data for an optimized crystal structure of CrSi2As.

Properties
**Size of the total moment**: 0.0 Bohr magnetons per cell
**Uncorrected energy**: -6.09 eV/atom
**DOS(E_F)**: 3.9 states/eV per cell

Lattice parameters (Å, degrees): 7.851 3.168 5.350 90.00 93.97 90.00
Space group Cm (No. 8)
Inequivalent atoms, fractional coordinates:
Cr  0.000  0.000  0.000 [2 per cell]
Si  0.069  0.500  0.326 [2 per cell]
Si  0.291  0.000  0.136 [2 per cell]
As  0.179  0.500  0.754 [2 per cell]